# GGA-PBE Ba6Pt2RhBr, relaxed
data_Ba6Pt2RhBr
_chemical_formula_sum 'Ba6 Pt2 Rh1 Br1'
_cell_length_a 7.962
_cell_length_b 7.963
_cell_length_c 8.881
_cell_angle_alpha 63.36
_cell_angle_beta 63.36
_cell_angle_gamma 60.00
_symmetry_space_group_name_H-M 'P 1'
_symmetry_Int_Tables_number 1
loop_
_symmetry_equiv_pos_as_xyz
'x,y,z'
loop_
_atom_site_label
_atom_site_type_symbol
_atom_site_fract_x
_atom_site_fract_y
_atom_site_fract_z
_atom_site_occupancy
Ba1 Ba 0.589 0.253 0.236 1
Ba2 Ba 0.120 0.390 0.761 1
Ba3 Ba 0.389 0.730 0.760 1
Ba4 Ba 0.253 0.922 0.235 1
Ba5 Ba 0.922 0.589 0.236 1
Ba6 Ba 0.730 0.120 0.760 1
Br1 Br 0.821 0.821 0.538 1
Pt1 Pt 0.506 0.507 0.480 1
Pt2 Pt 0.003 0.003 0.992 1
Rh1 Rh 0.328 0.328 0.017 1
# Space-group type = R3, No. 146
# E_form (uncorrected) = -700.5 meV/atom

---

# GGA-PBE Ba4PtRhBr2, relaxed
data_Ba4PtRhBr2
_chemical_formula_sum 'Ba4 Pt1 Rh1 Br2'
_cell_length_a 4.568
_cell_length_b 7.903
_cell_length_c 8.632
_cell_angle_alpha 107.68
_cell_angle_beta 90.00
_cell_angle_gamma 90.00
_symmetry_space_group_name_H-M 'P 1'
_symmetry_Int_Tables_number 1
loop_
_symmetry_equiv_pos_as_xyz
'x,y,z'
loop_
_atom_site_label
_atom_site_type_symbol
_atom_site_fract_x
_atom_site_fract_y
_atom_site_fract_z
_atom_site_occupancy
Ba1 Ba 0.000 0.269 0.788 1
Ba2 Ba 0.500 0.244 0.212 1
Ba3 Ba 0.000 0.731 0.212 1
Ba4 Ba 0.500 0.756 0.788 1
Pt1 Pt 0.000 0.000 0.000 1
Br1 Br 0.000 0.500 0.500 1
Br2 Br 0.500 0.000 0.500 1
Rh1 Rh 0.500 0.500 0.000 1
# Space-group type = P2/m, No. 10
# E_form (uncorrected) = -1106.5 meV/atom

---

The evaluated theoretical density for the records listed, in turn: 5.56, 5.63 g/cm³.
The evaluated total moment for the records listed, in turn: 0.00, 0.00 μB per atom.
The evaluated calculated volume for the records listed, in turn: 417.2, 296.9 Å³/f.u..